No. 1
Below is a crystal of ZrRh2W relaxed with PBEsol, with properties calculated at the SCAN level.

Cell and atoms, written as CIF:
```
data_ZrRh2W
_cell_length_a 2.8058
_cell_length_b 2.8058
_cell_length_c 27.8155
_cell_angle_alpha 90.00
_cell_angle_beta 90.00
_cell_angle_gamma 120.00
_space_group_name_H-M_alt 'R 3 m'
_space_group_IT_number 160
_space_group_name_Hall 'R 3 -2"'
loop_
_atom_site_label
_atom_site_type_symbol
_atom_site_fract_x
_atom_site_fract_y
_atom_site_fract_z
Zr1 Zr 0.0000 0.0000 0.0000
Rh1 Rh 0.0000 0.0000 0.2511
Rh2 Rh 0.0000 0.0000 0.5028
W1 W 0.0000 0.0000 0.7613
```

Calculated values
V (Å³/f.u.): 63.2
Total magnetization (Bohr magnetons per cell): 0.0
DOS(E_F) (states/eV per atom): 0.93
Energy relative to the lowest polymorph listed for this composition (eV/f.u.): 1.640
Formation energy from the elements (eV/atom): 0.055


No. 2
Below is a crystal of Rb2Li14Tb3O14 relaxed with PBEsol, with properties calculated at the SCAN level.

Cell and atoms, written as CIF:
```
data_Rb2Li14Tb3O14
_cell_length_a 7.357
_cell_length_b 8.050
_cell_length_c 12.981
_cell_angle_alpha 90.00
_cell_angle_beta 90.00
_cell_angle_gamma 90.00
_space_group_name_H-M_alt 'I m m m'
_space_group_IT_number 71
_space_group_name_Hall '-I 2 2'
loop_
_atom_site_label
_atom_site_type_symbol
_atom_site_fract_x
_atom_site_fract_y
_atom_site_fract_z
Rb1 Rb 0.236 0.000 0.000
Li1 Li 0.000 0.146 0.232
Li2 Li 0.000 0.155 0.500
Li3 Li 0.226 0.156 0.367
Tb1 Tb 0.000 0.500 0.000
Tb2 Tb 0.000 0.500 0.270
O1 O 0.000 0.280 0.373
O2 O 0.000 0.314 0.131
O3 O 0.201 0.000 0.254
O4 O 0.201 0.000 0.500
```

Calculated values
E_form (uncorrected) (eV/f.u.): -73.9
V (Å³/f.u.): 384.4
Total magnetization (Bohr magnetons per cell): 6.1
DOS(E_F) (states/eV per atom): 0.41


No. 3
Below is a crystal of CoF3 relaxed with PBEsol, with properties calculated at the SCAN level.

Cell and atoms, written as CIF:
```
data_CoF3
_cell_length_a 5.3074
_cell_length_b 5.3074
_cell_length_c 6.4845
_cell_angle_alpha 90.00
_cell_angle_beta 90.00
_cell_angle_gamma 120.00
_space_group_name_H-M_alt 'R -3 m'
_space_group_IT_number 166
_space_group_name_Hall '-R 3 2"'
loop_
_atom_site_label
_atom_site_type_symbol
_atom_site_fract_x
_atom_site_fract_y
_atom_site_fract_z
Co1 Co 0.0000 0.0000 0.0000
F1 F 0.0000 0.5000 0.5000
```

Calculated values
E_form (uncorrected) (eV/f.u.): -7.9
V (Å³/f.u.): 52.7
Total magnetization (Bohr magnetons per cell): 0.0


Question: What is the formula in the second record?
Answer: Rb2Li14Tb3O14